A plane-wave DFT calculation with PBE was carried out for an optimized crystal structure of BaLa3Ir.

Cell lengths 7.6509, 7.6509, 8.1907 Å; angles 100.97, 100.97, 119.72 degrees
Positions (direct):
1 Ba 0.2257 0.2257 0.4359
2 Ba 0.7743 0.7743 0.5641
3 La 0.1977 0.6455 0.2314
4 La 0.2271 0.2271 0.9352
5 La 0.3545 0.8023 0.7686
6 La 0.6455 0.1977 0.2314
7 La 0.7729 0.7729 0.0648
8 La 0.8023 0.3545 0.7686
9 Ir 0.1526 0.8474 0.0000
10 Ir 0.8474 0.1526 0.0000

Summary:
Total DFT energy (no corrections), eV per atom: -5.407
Offset from the most stable computed form, meV/atom: 25
Energy of formation from the pure elements, eV/f.u.: -1.469